A geometry-optimized Mn3NiH3 structure. Source: the Alexandria database, functional PBE.

Cell lengths 4.9090, 4.9090, 18.5064 Å; angles 90.00, 90.00, 120.00 degrees
Last column: nearest neighbours and their distance in Å.
Space group R-3 (No. 148, hexagonal axes)
Symmetry-distinct sites (fractional):
1 Mn 0.0010 0.3304 0.0984 (multiplicity 18)  4 H 1.76-1.88
2 Ni 0.0000 0.0000 0.3334 (multiplicity 6)  6 Mn 2.45-2.46
3 H 0.0017 0.3377 0.8664 (multiplicity 18)  4 Mn 1.76-1.88

Theoretical density   5844 kg/m³
Magnetic moment   59.78 μB per cell
D(E_F)   0.62 states/eV/atom
Total DFT energy (no corrections)   -6.001 eV per atom